# ZnMo2Pb (PBEsol, relaxed)
data_ZnMo2Pb
_cell_length_a 3.287
_cell_length_b 4.560
_cell_length_c 8.955
_cell_angle_alpha 90.00
_cell_angle_beta 90.00
_cell_angle_gamma 90.00
_symmetry_space_group_name_H-M 'I m m m'
_symmetry_Int_Tables_number 71
_symmetry_space_group_name_Hall '-I 2 2'
loop_
_atom_site_label
_atom_site_fract_x
_atom_site_fract_y
_atom_site_fract_z
_atom_site_occupancy
Zn1 0.000 0.000 0.000 1
Mo1 0.000 0.500 0.257 1
Pb1 0.000 0.000 0.500 1
# **Energy relative to the elements**: 0.5424 eV/atom
# **D(E_F)**: 0.741 states/eV per atom
# **Energy above the lowest structure with this stoichiometry**: 0.47 eV per formula unit
# **Density**: 11.49 g/cm³



# ZnMo2Pb (PBEsol, relaxed)
data_ZnMo2Pb
_cell_length_a 3.1223
_cell_length_b 3.1223
_cell_length_c 26.9433
_cell_angle_alpha 90.00
_cell_angle_beta 90.00
_cell_angle_gamma 120.00
_symmetry_space_group_name_H-M 'R 3 m'
_symmetry_Int_Tables_number 160
_symmetry_space_group_name_Hall 'R 3 -2"'
loop_
_atom_site_label
_atom_site_fract_x
_atom_site_fract_y
_atom_site_fract_z
_atom_site_occupancy
Zn1 0.0000 0.0000 0.0000 1
Mo1 0.0000 0.0000 0.2550 1
Mo2 0.0000 0.0000 0.5249 1
Pb1 0.0000 0.0000 0.7628 1
# **Energy relative to the elements**: 0.4254 eV/atom
# **D(E_F)**: 0.626 states/eV per atom
# **Energy above the lowest structure with this stoichiometry**: 0.00 eV per formula unit
# **Density**: 10.17 g/cm³



# ZrMoPb (PBEsol, relaxed)
data_ZrMoPb
_cell_length_a 6.596
_cell_length_b 6.596
_cell_length_c 6.596
_cell_angle_alpha 90.00
_cell_angle_beta 90.00
_cell_angle_gamma 90.00
_symmetry_space_group_name_H-M 'F -4 3 m'
_symmetry_Int_Tables_number 216
_symmetry_space_group_name_Hall 'F -4 2 3'
loop_
_atom_site_label
_atom_site_fract_x
_atom_site_fract_y
_atom_site_fract_z
_atom_site_occupancy
Zr1 0.000 0.000 0.000 1
Mo1 0.250 0.250 0.250 1
Pb1 0.250 0.250 0.750 1
# **Energy relative to the elements**: 1.0664 eV/atom
# **D(E_F)**: 1.837 states/eV per atom
# **Density**: 9.13 g/cm³



# Zr2MoPb (PBEsol, relaxed)
data_Zr2MoPb
_cell_length_a 3.442
_cell_length_b 5.272
_cell_length_c 9.212
_cell_angle_alpha 90.00
_cell_angle_beta 90.00
_cell_angle_gamma 90.00
_symmetry_space_group_name_H-M 'C m m m'
_symmetry_Int_Tables_number 65
_symmetry_space_group_name_Hall '-C 2 2'
loop_
_atom_site_label
_atom_site_fract_x
_atom_site_fract_y
_atom_site_fract_z
_atom_site_occupancy
Zr1 0.000 0.000 0.221 1
Mo1 0.000 0.500 0.000 1
Pb1 0.000 0.500 0.500 1
# **Energy relative to the elements**: -0.0325 eV/atom
# **D(E_F)**: 0.843 states/eV per atom
# **Density**: 9.65 g/cm³



# ZrMoPb2 (PBEsol, relaxed)
data_ZrMoPb2
_cell_length_a 3.421
_cell_length_b 3.421
_cell_length_c 7.067
_cell_angle_alpha 90.00
_cell_angle_beta 90.00
_cell_angle_gamma 90.00
_symmetry_space_group_name_H-M 'P 4/m m m'
_symmetry_Int_Tables_number 123
_symmetry_space_group_name_Hall '-P 4 2'
loop_
_atom_site_label
_atom_site_fract_x
_atom_site_fract_y
_atom_site_fract_z
_atom_site_occupancy
Zr1 0.000 0.000 0.000 1
Mo1 0.000 0.000 0.500 1
Pb1 0.500 0.500 0.272 1
# **Energy relative to the elements**: 0.3182 eV/atom
# **D(E_F)**: 0.696 states/eV per atom
# **Energy above the lowest structure with this stoichiometry**: 0.04 eV per formula unit
# **Density**: 12.08 g/cm³



# Zr2MoPb (PBEsol, relaxed)
data_Zr2MoPb
_cell_length_a 3.426
_cell_length_b 5.177
_cell_length_c 9.406
_cell_angle_alpha 90.00
_cell_angle_beta 90.00
_cell_angle_gamma 90.00
_symmetry_space_group_name_H-M 'C m m 2'
_symmetry_Int_Tables_number 35
loop_
_symmetry_equiv_pos_as_xyz
'x,y,z'
'-x,-y,z'
'-x,y,z'
'x,-y,z'
'x+1/2,y+1/2,z'
'-x+1/2,-y+1/2,z'
'-x+1/2,y+1/2,z'
'x+1/2,-y+1/2,z'
loop_
_atom_site_label
_atom_site_fract_x
_atom_site_fract_y
_atom_site_fract_z
_atom_site_occupancy
Zr1 0.000 0.000 0.000 1
Zr2 0.000 0.500 0.271 1
Mo1 0.000 0.000 0.488 1
Pb1 0.000 0.500 0.730 1
# **Energy relative to the elements**: 0.2333 eV/atom
# **D(E_F)**: 1.366 states/eV per atom
# **Density**: 9.67 g/cm³



no.,energy (eV per cell)
1,-53.894
2,-82.245
3,-86.628
4,-68.152
5,-27.582
6,-66.026